Here is a relaxed structure of CoPbSeN2 from Alexandria via LeMat-Bulk. Energies are from PBE-GGA.

The space group is P4/mmm (No. 123) and the conventional cell measures 4.276, 4.276 and 5.798 Å, with angles of 90.00, 90.00 and 90.00 degrees. The inequivalent atoms are Co at (0.000, 0.000, 0.000), Pb at (0.500, 0.500, 0.500), Se at (0.500, 0.500, 0.000) and N at (0.000, 0.500, 0.500).

As for the total magnetization: 5.2 μB per formula unit. Its energy relative to the elements, uncorrected is 1.98 eV per atom.

---

Here is a relaxed structure of CrHgW2 from Alexandria via LeMat-Bulk. Energies are from PBE-GGA.

The space group is I-4m2 (No. 119) and the conventional cell measures 4.090, 4.090 and 7.718 Å, with angles of 90.00, 90.00 and 90.00 degrees. The inequivalent atoms are Cr at (0.000, 0.000, 0.000), Hg at (0.000, 0.500, 0.750), W at (0.000, 0.000, 0.500) and W at (0.000, 0.500, 0.250).

As for the total magnetization: 1.3 μB per formula unit. As for the energy of formation from the pure elements: 0.694 eV/atom.

---

> Number 1 is which compound?

CoPbSeN2